1.
3
Lattice="-2.214 3.924 3.142 -5.324 -0.024 1.349 4.328 -3.381 -0.064" Properties=species:S:1:pos:R:3 comment="LiSiTe, relaxed, DFT GGA-PBE" mass_density_g_cm3=3.95 dft_energy_ev_per_atom=-3.47 space_group=I4mm raw_formation_energy_ev_per_atom=0.024 crystal_system=tetragonal pbc="T T T"
Te -5.263 2.723 3.135
Si -2.283 1.181 1.360
Li -7.531 3.896 4.487



2.
12
Lattice="-5.863 -2.226 1.607 4.341 -3.847 2.877 0.732 6.133 1.942" Properties=species:S:1:pos:R:3 comment="CaSmF4, relaxed, DFT GGA-PBE" mass_density_g_cm3=4.24 dft_energy_ev_per_atom=-5.94 space_group=I4_1md raw_formation_energy_ev_per_atom=-3.576 crystal_system=tetragonal pbc="T T T"
F -4.200 3.105 2.948
F -0.970 0.647 0.715
F -2.025 0.782 3.845
F 0.968 2.423 3.454
F 3.142 0.133 4.396
F 1.206 -0.739 2.558
F -1.722 -2.219 2.866
F -3.906 -0.066 2.059
Ca -0.391 -1.559 1.151
Ca 2.526 1.102 2.440
Sm 1.788 -1.843 4.614
Sm -1.129 -4.504 3.325



3.
4
Lattice="-2.595 -1.545 3.762 -4.186 -1.871 1.501 1.144 -4.670 -0.131" Properties=species:S:1:pos:R:3 comment="MoOs2W, relaxed, DFT GGA-PBE" mass_density_g_cm3=17.99 dft_energy_ev_per_atom=-11.46 ef_ev_per_atom=0.099 space_group=Cm crystal_system=monoclinic pbc="T T T"
W -2.767 -4.076 2.534
Os 1.100 -4.669 -0.100
Os -4.183 -6.074 3.819
Mo -1.462 -1.978 1.314



4.
5
Lattice="4.316 0.000 0.000 0.000 5.056 0.000 0.000 0.000 4.316" Properties=species:S:1:pos:R:3 comment="Nb2TeHPb, relaxed, DFT GGA-PBE" mass_density_g_cm3=9.20 dft_energy_ev_per_atom=-5.51 space_group=P4/mmm crystal_system=tetragonal pbc="T T T"
Nb 0.000 0.000 2.158
Nb 2.158 0.000 0.000
Te 2.158 2.528 2.158
Pb 0.000 2.528 0.000
H 0.000 0.000 0.000



5.
5
Lattice="-3.400 2.602 -3.146 2.385 -2.058 -4.279 -3.424 -4.287 0.154" Properties=species:S:1:pos:R:3 comment="VTePI2, relaxed, DFT GGA-PBE" mass_density_g_cm3=4.96 dft_energy_ev_per_atom=-3.15 space_group=P4/mmm raw_formation_energy_ev_per_atom=1.009 crystal_system=tetragonal pbc="T T T"
I -1.700 1.301 -1.573
I 1.192 -1.029 -2.140
V -2.220 -1.872 -3.636
Te -1.712 -2.144 0.077
P 0.000 0.000 0.000



6.
4
Lattice="-1.848 0.316 -3.387 3.382 -1.121 -1.949 -1.140 -3.889 0.259" Properties=species:S:1:pos:R:3 comment="HgMoOs2, relaxed, DFT GGA-PBE" mass_density_g_cm3=17.61 dft_energy_ev_per_atom=-7.63 ef_ev_per_atom=0.765 space_group=P4/mmm crystal_system=tetragonal pbc="T T T"
Hg 0.767 -0.403 -2.668
Mo -1.494 -1.787 -1.564
Os 1.121 -2.505 -0.845
Os 0.000 0.000 0.000



7.
4
Lattice="-3.433 0.499 -3.723 -1.198 -4.923 0.444 -3.558 1.176 3.439" Properties=species:S:1:pos:R:3 comment="Sm2YTh, relaxed, DFT GGA-PBE" mass_density_g_cm3=7.84 dft_energy_ev_per_atom=-5.78 ef_ev_per_atom=0.048 space_group=P4/mmm crystal_system=tetragonal pbc="T T T"
Sm -0.599 -2.462 0.222
Sm -1.779 0.588 1.719
Y -1.716 0.250 -1.861
Th -4.094 -1.624 0.080



8.
3
Lattice="3.875 0.000 0.000 0.000 3.875 0.000 -1.937 -1.937 5.328" Properties=species:S:1:pos:R:3 comment="GaSbPb, relaxed, DFT GGA-PBE" mass_density_g_cm3=8.28 dft_energy_ev_per_atom=-3.55 space_group=I4mm raw_formation_energy_ev_per_atom=0.071 crystal_system=tetragonal pbc="T T T"
Ga 0.000 0.000 3.330
Sb 1.937 1.937 1.998
Pb 1.937 1.937 5.327



9.
6
Lattice="-1.981 0.971 -4.360 -2.781 -1.986 0.821 -3.475 7.325 5.949" Properties=species:S:1:pos:R:3 comment="PuSiI, relaxed, DFT GGA-PBE" mass_density_g_cm3=7.91 dft_energy_ev_per_atom=-7.33 space_group=Cmcm raw_formation_energy_ev_per_atom=-0.229 crystal_system=orthorhombic pbc="T T T"
Pu -2.455 -0.843 0.928
Pu -5.781 7.153 1.482
I -2.209 2.151 1.483
I -6.028 4.159 0.927
Si -6.175 5.664 4.067
Si -2.062 0.647 -1.658



10.
3
Lattice="3.475 0.000 0.000 -1.738 3.010 0.000 0.000 0.000 6.167" Properties=species:S:1:pos:R:3 comment="TbUFe, relaxed, DFT GGA-PBE" mass_density_g_cm3=11.66 dft_energy_ev_per_atom=-7.95 ef_ev_per_atom=0.181 space_group=P3m1 crystal_system=trigonal pbc="T T T"
Tb 0.000 0.000 5.959
U 1.738 1.003 2.534
Fe 0.000 2.006 3.841



11.
7
Lattice="4.782 0.000 1.494 2.157 4.267 1.494 0.211 0.129 7.725" Properties=species:S:1:pos:R:3 comment="MgSc2Cd4, relaxed, DFT GGA-PBE" mass_density_g_cm3=6.01 dft_energy_ev_per_atom=-2.67 ef_ev_per_atom=-0.115 space_group=R-3m crystal_system=trigonal pbc="T T T"
Cd 4.082 2.510 3.733
Cd 6.082 3.740 5.731
Cd 3.068 1.886 6.980
Cd 1.068 0.656 4.982
Mg 0.000 0.000 0.000
Sc 5.165 3.177 8.665
Sc 1.984 1.220 2.049



12.
4
Lattice="-1.632 1.460 2.440 -1.937 -2.446 -1.006 3.807 -5.387 5.768" Properties=species:S:1:pos:R:3 comment="SiSb2Au, relaxed, DFT GGA-PBE" mass_density_g_cm3=8.57 dft_energy_ev_per_atom=-3.93 space_group=Cmm2 raw_formation_energy_ev_per_atom=0.302 crystal_system=orthorhombic pbc="T T T"
Au 0.934 -4.340 4.836
Sb -0.710 -2.014 2.345
Sb 3.689 -5.221 5.590
Si 2.034 -2.879 3.082



13.
10
Lattice="5.061 0.000 0.000 0.000 5.061 0.000 0.000 0.000 12.131" Properties=species:S:1:pos:R:3 comment="Ba2TlCd3Sn4, relaxed, DFT GGA-PBE" mass_density_g_cm3=6.90 dft_energy_ev_per_atom=-2.86 ef_ev_per_atom=-0.365 space_group=P-4m2 crystal_system=tetragonal pbc="T T T"
Sn 0.000 0.000 0.000
Sn 2.530 2.530 0.000
Sn 0.000 2.530 4.419
Sn 2.530 0.000 7.711
Cd 0.000 0.000 6.065
Cd 0.000 2.530 1.591
Cd 2.530 0.000 10.540
Ba 2.530 0.000 3.011
Ba 0.000 2.530 9.120
Tl 2.530 2.530 6.065



14.
5
Lattice="6.636 0.000 0.000 0.000 6.636 0.000 0.000 0.000 5.364" Properties=species:S:1:pos:R:3 comment="Rb2NaAgAu, relaxed, DFT GGA-PBE" mass_density_g_cm3=3.51 dft_energy_ev_per_atom=-1.87 ef_ev_per_atom=0.010 space_group=P4/mmm crystal_system=tetragonal pbc="T T T"
Ag 0.000 0.000 2.682
Rb 0.000 3.318 0.000
Rb 3.318 0.000 0.000
Au 0.000 0.000 0.000
Na 3.318 3.318 2.682



15.
4
Lattice="-1.856 -3.170 -2.418 2.489 -3.181 -1.741 -0.698 -5.984 4.382" Properties=species:S:1:pos:R:3 comment="PrPbSe2, relaxed, DFT GGA-PBE" mass_density_g_cm3=7.16 dft_energy_ev_per_atom=-4.96 space_group=R-3m raw_formation_energy_ev_per_atom=-1.093 crystal_system=trigonal pbc="T T T"
Pb 0.000 0.000 0.000
Se -0.045 -9.236 0.144
Se -0.020 -3.100 0.079
Pr -0.032 -6.168 0.112



16.
4
Lattice="5.008 0.000 0.000 2.504 4.337 0.000 2.504 1.446 4.089" Properties=species:S:1:pos:R:3 comment="HoErZnCr, relaxed, DFT GGA-PBE" mass_density_g_cm3=8.41 dft_energy_ev_per_atom=-5.01 ef_ev_per_atom=0.001 space_group=F-43m crystal_system=cubic pbc="T T T"
Cr 2.504 1.446 1.022
Ho 0.000 0.000 0.000
Er 5.008 2.891 2.044
Zn 7.512 4.337 3.067



17.
4
Lattice="-0.707 6.831 3.147 -3.236 6.758 0.964 -3.581 5.337 3.970" Properties=species:S:1:pos:R:3 comment="MnMoSe2, relaxed, DFT GGA-PBE" mass_density_g_cm3=7.26 dft_energy_ev_per_atom=-6.73 space_group=R-3m raw_formation_energy_ev_per_atom=0.013 crystal_system=trigonal pbc="T T T"
Se -0.014 0.036 0.016
Se -3.748 9.427 4.025
Mn -1.881 4.732 2.020
Mo -5.643 14.195 6.061



18.
8
Lattice="5.173 0.000 0.000 0.000 5.088 0.857 0.000 3.390 11.052" Properties=species:S:1:pos:R:3 comment="La2PmSm4Dy, relaxed, DFT GGA-PBE" mass_density_g_cm3=7.14 dft_energy_ev_per_atom=-4.74 ef_ev_per_atom=0.023 space_group=P2/m crystal_system=monoclinic pbc="T T T"
Sm 2.586 3.816 8.491
Sm 0.000 6.363 8.916
Sm 2.586 4.662 3.418
Sm 5.173 2.115 2.993
Pm 2.587 5.934 11.480
Dy 0.000 4.239 5.954
La 2.586 1.695 5.526
La 0.000 3.390 11.052



19.
4
Lattice="-0.745 2.162 3.386 1.261 -3.146 2.286 5.916 2.266 -0.146" Properties=species:S:1:pos:R:3 comment="Ca2CuAg, relaxed, DFT GGA-PBE" mass_density_g_cm3=3.95 dft_energy_ev_per_atom=-2.76 ef_ev_per_atom=-0.024 space_group=P4mm crystal_system=tetragonal pbc="T T T"
Ca 2.148 0.232 2.789
Ca 5.529 2.117 -0.136
Ag 4.900 1.285 2.722
Cu 2.729 1.045 -0.067



20.
11
Lattice="0.609 -4.948 -1.876 2.620 -1.551 7.812 -8.346 0.340 -0.731" Properties=species:S:1:pos:R:3 comment="La8Ni2Sn, relaxed, DFT GGA-PBE" mass_density_g_cm3=6.68 dft_energy_ev_per_atom=-5.22 ef_ev_per_atom=-0.221 space_group=Cm crystal_system=monoclinic pbc="T T T"
La 0.534 -3.274 1.236
La -1.985 -2.840 -0.727
La -2.991 -3.450 6.032
La 0.340 -6.018 3.865
La -2.145 -1.459 2.430
La -3.026 -4.648 2.856
La -5.806 -2.965 3.839
La -5.023 -5.093 -0.313
Ni -0.472 -3.358 4.187
Ni -4.589 -2.648 0.979
Sn -0.009 -0.033 0.004



21.
16
Lattice="-8.478 0.146 3.461 3.892 -3.486 7.522 3.039 7.195 -2.823" Properties=species:S:1:pos:R:3 comment="Cs2LiThS4, relaxed, DFT GGA-PBE" mass_density_g_cm3=4.09 dft_energy_ev_per_atom=-4.75 space_group=Imma raw_formation_energy_ev_per_atom=-1.310 crystal_system=orthorhombic pbc="T T T"
Cs -2.293 -1.670 5.492
Cs 1.520 3.597 -1.412
Cs -4.239 0.073 1.731
Cs -2.719 3.671 0.319
S -0.426 -0.426 2.689
S -4.046 3.057 3.435
S 2.500 0.798 4.725
S -2.173 1.788 6.449
S -5.358 -0.601 4.914
S 0.627 2.067 1.711
S 3.811 4.457 3.245
S -1.120 4.281 5.471
Th -5.012 2.001 5.810
Th 1.946 -1.743 3.761
Li -5.438 7.341 0.638
Li -0.773 1.928 4.080



22.
8
Lattice="-2.118 4.495 -3.403 -2.248 -4.009 -3.892 -1.204 -0.308 5.669" Properties=species:S:1:pos:R:3 comment="Cu2BPbS4, relaxed, DFT GGA-PBE" mass_density_g_cm3=5.49 dft_energy_ev_per_atom=-4.72 space_group=I-42m raw_formation_energy_ev_per_atom=-0.339 crystal_system=tetragonal pbc="T T T"
S -1.618 -0.135 2.775
S -3.210 0.043 0.109
S -3.131 1.778 -2.978
S -3.178 -1.328 -3.157
B -2.183 0.243 -3.647
Pb -0.001 0.000 0.001
Cu -2.753 2.216 -0.691
Cu -2.818 -2.037 -0.936



23.
4
Lattice="-3.856 -0.413 3.710 -4.494 2.897 -0.466 -4.638 -2.416 -1.207" Properties=species:S:1:pos:R:3 comment="Tl2AgSb, relaxed, DFT GGA-PBE" mass_density_g_cm3=9.70 dft_energy_ev_per_atom=-2.77 space_group=Fm-3m raw_formation_energy_ev_per_atom=0.153 crystal_system=cubic pbc="T T T"
Tl -3.247 0.017 0.509
Tl -9.741 0.051 1.528
Ag 0.000 0.000 0.000
Sb -6.494 0.034 1.018



24.
7
Lattice="3.804 0.000 0.000 0.000 3.968 0.000 0.000 -1.984 8.541" Properties=species:S:1:pos:R:3 comment="DyZn4Au2, relaxed, DFT GGA-PBE" mass_density_g_cm3=10.54 dft_energy_ev_per_atom=-2.70 ef_ev_per_atom=-0.380 space_group=Cmmm crystal_system=orthorhombic pbc="T T T"
Dy 0.000 0.000 0.000
Au 1.902 1.984 1.396
Au 1.902 0.000 7.145
Zn 1.902 1.984 5.351
Zn 1.902 0.000 3.190
Zn 0.000 0.000 5.221
Zn 0.000 1.984 3.320



25.
3
Lattice="-3.533 -4.841 -2.455 0.539 -6.358 -1.106 0.579 5.196 3.823" Properties=species:S:1:pos:R:3 comment="AlSbAu, relaxed, DFT GGA-PBE" mass_density_g_cm3=9.15 dft_energy_ev_per_atom=-3.70 space_group=Imm2 raw_formation_energy_ev_per_atom=0.013 crystal_system=orthorhombic pbc="T T T"
Sb -1.985 -7.425 -2.362
Au -1.076 -4.023 -1.279
Al -2.928 -10.949 -3.482



26.
4
Lattice="5.724 0.023 0.000 4.040 4.055 0.000 -4.882 -2.039 2.185" Properties=species:S:1:pos:R:3 comment="Be2NiCl, relaxed, DFT GGA-PBE" mass_density_g_cm3=3.69 dft_energy_ev_per_atom=-3.34 space_group=I-4m2 raw_formation_energy_ev_per_atom=0.427 crystal_system=tetragonal pbc="T T T"
Cl 4.882 2.039 0.000
Ni 2.862 0.012 1.092
Be 0.000 0.000 0.000
Be 2.020 2.028 1.092



27.
5
Lattice="-0.062 -2.887 -1.509 2.480 -1.021 1.851 -4.724 -5.079 6.394" Properties=species:S:1:pos:R:3 comment="Mg2Mn2Bi, relaxed, DFT GGA-PBE" mass_density_g_cm3=6.28 dft_energy_ev_per_atom=-4.73 ef_ev_per_atom=0.349 space_group=I4/mmm crystal_system=tetragonal pbc="T T T"
Mn -1.789 -4.960 2.528
Mn -0.518 -4.027 4.208
Bi 0.000 0.000 0.000
Mg -1.992 -6.230 4.968
Mg -0.315 -2.756 1.769



28.
5
Lattice="-1.879 2.094 -3.270 -2.915 -4.040 -0.912 -2.986 1.543 2.704" Properties=species:S:1:pos:R:3 comment="CuReS2N, relaxed, DFT GGA-PBE" mass_density_g_cm3=5.78 dft_energy_ev_per_atom=-4.39 space_group=P4/mmm raw_formation_energy_ev_per_atom=2.233 crystal_system=tetragonal pbc="T T T"
Re -1.457 -2.020 -0.456
S -1.493 0.772 1.352
S -0.940 1.047 -1.635
N -3.890 -0.201 -0.739
Cu 0.000 0.000 0.000



V / Å³ per cell: 68.3 208.6 60.9 94.2 155.0 63.8 131.6 80.0 167.5 64.5 155.8 90.8 310.7 236.2 117.3 88.8 70.6 275.8 105.8 334.8 513.9 143.1 109.3 128.9 62.7 50.5 97.1 94.3